1.
Compound: MgAsO
Source: the Alexandria database
Functional: PBE-GGA
Structure: relaxed

Total DFT energy (no corrections) (eV per atom): -5.218
Calculated volume (Å³/cell): 88.91
Polymorph energy (0 for the lowest one) (meV/atom): 123
DOS at the Fermi energy (states/eV per cell): 0.3

Cell lengths 6.472, 6.472, 4.147 Å; angles 107.03, 107.03, 32.51 degrees
Atoms (fractional coordinates):
Mg: 0.000 0.000 0.000
Mg: 0.578 0.578 0.572
As: 0.294 0.294 0.842
As: 0.772 0.772 0.238
O: 0.003 0.003 0.504
O: 0.597 0.597 0.089

---

2.
Compound: MgAsO
Source: the Alexandria database
Functional: PBE-GGA
Structure: relaxed

Total DFT energy (no corrections) (eV per atom): -5.341
Calculated volume (Å³/cell): 95.22
Polymorph energy (0 for the lowest one) (meV/atom): 0
DOS at the Fermi energy (states/eV per cell): 1.0

Cell lengths 2.872, 2.873, 11.549 Å; angles 89.29, 88.44, 89.99 degrees
Atoms (fractional coordinates):
Mg: 0.000 0.000 0.000
Mg: 0.479 0.490 0.188
As: 0.328 0.879 0.699
As: 0.335 0.900 0.489
O: 0.500 0.500 0.997
O: 0.979 0.990 0.191

---

3.
Compound: Mg3AsO
Source: the Alexandria database
Functional: PBE-GGA
Structure: relaxed

Total DFT energy (no corrections) (eV per atom): -3.976
Calculated volume (Å³/cell): 80.43
Polymorph energy (0 for the lowest one) (meV/atom): 0
DOS at the Fermi energy (states/eV per cell): 1.8

Cell lengths 4.317, 4.317, 4.317 Å; angles 90.00, 90.00, 90.00 degrees
Atoms (fractional coordinates):
Mg: 0.000 0.000 0.500
Mg: 0.000 0.500 0.000
Mg: 0.500 0.000 0.000
As: 0.500 0.500 0.500
O: 0.000 0.000 0.000

---

4.
Compound: Mg2AsO
Source: the Alexandria database
Functional: PBE-GGA
Structure: relaxed

Total DFT energy (no corrections) (eV per atom): -3.781
Calculated volume (Å³/cell): 62.18
DOS at the Fermi energy (states/eV per cell): 2.0

Cell lengths 4.447, 4.447, 4.447 Å; angles 60.00, 60.00, 60.00 degrees
Atoms (fractional coordinates):
Mg: 0.250 0.250 0.250
Mg: 0.750 0.750 0.750
As: 0.000 0.000 0.000
O: 0.500 0.500 0.500

---

5.
Compound: MgAs2O4
Source: the Alexandria database
Functional: PBE-GGA
Structure: relaxed

Total DFT energy (no corrections) (eV per atom): -6.084
Calculated volume (Å³/cell): 413.69
DOS at the Fermi energy (states/eV per cell): 0.0

Cell lengths 8.430, 8.430, 5.821 Å; angles 90.00, 90.00, 90.00 degrees
Atoms (fractional coordinates):
Mg: 0.000 0.500 0.250
Mg: 0.000 0.500 0.750
Mg: 0.500 0.000 0.250
Mg: 0.500 0.000 0.750
As: 0.172 0.188 0.000
As: 0.188 0.828 0.500
As: 0.312 0.328 0.500
As: 0.328 0.688 0.000
As: 0.672 0.312 0.000
As: 0.688 0.672 0.500
As: 0.812 0.172 0.500
As: 0.828 0.812 0.000
O: 0.108 0.370 0.500
O: 0.130 0.392 0.000
O: 0.184 0.684 0.250
O: 0.184 0.684 0.750
O: 0.316 0.184 0.250
O: 0.316 0.184 0.750
O: 0.370 0.892 0.000
O: 0.392 0.870 0.500
O: 0.608 0.130 0.500
O: 0.630 0.108 0.000
O: 0.684 0.816 0.250
O: 0.684 0.816 0.750
O: 0.816 0.316 0.250
O: 0.816 0.316 0.750
O: 0.870 0.608 0.000
O: 0.892 0.630 0.500

---

6.
Compound: Mg2As2O7
Source: the Alexandria database
Functional: PBE-GGA
Structure: relaxed

Total DFT energy (no corrections) (eV per atom): -6.130
Calculated volume (Å³/cell): 135.52
DOS at the Fermi energy (states/eV per cell): 0.0

Cell lengths 5.460, 5.460, 4.843 Å; angles 97.95, 97.95, 105.38 degrees
Atoms (fractional coordinates):
Mg: 0.189 0.811 0.000
Mg: 0.811 0.189 0.000
As: 0.264 0.264 0.601
As: 0.736 0.736 0.399
O: 0.095 0.095 0.274
O: 0.101 0.431 0.793
O: 0.431 0.101 0.793
O: 0.500 0.500 0.500
O: 0.569 0.899 0.207
O: 0.899 0.569 0.207
O: 0.905 0.905 0.726